RbFe2Te3 | GGA-PBE | optimized geometry

The calculation puts the total energy at -4.76 eV/atom. The mass density comes out at 5.92 g/cm3.

Cell lengths 9.290, 3.831, 10.166 Å; angles 90.00, 115.89, 90.00 degrees
Space group P2_1/m (No. 11)
Symmetry-distinct sites (fractional):
Rb  0.016  0.250  0.259 [2 per cell]
Fe  0.479  0.250  0.167 [2 per cell]
Fe  0.481  0.750  0.412 [2 per cell]
Te  0.278  0.750  0.144 [2 per cell]
Te  0.315  0.750  0.563 [2 per cell]
Te  0.360  0.250  0.880 [2 per cell]

RbFe3Te5 | GGA-PBE | optimized geometry

The calculation puts the total energy at -4.76 eV/atom. The mass density comes out at 6.13 g/cm3.

Cell lengths 5.8483, 5.8483, 8.1444 Å; angles 90.00, 90.00, 120.00 degrees
Space group P6/mmm (No. 191)
Symmetry-distinct sites (fractional):
Rb  0.0000  0.0000  0.0000 [1 per cell]
Fe  0.0000  0.5000  0.5000 [3 per cell]
Te  0.0000  0.0000  0.5000 [1 per cell]
Te  0.3333  0.6667  0.2633 [4 per cell]

RbFeTe | GGA-PBE | optimized geometry

The calculation puts the energy above the most stable polymorph in this dataset at 804 meV per atom. The mass density comes out at 3.78 g/cm3.

Cell lengths 7.791, 7.791, 7.791 Å; angles 90.00, 90.00, 90.00 degrees
Space group F-43m (No. 216)
Symmetry-distinct sites (fractional):
Rb  0.000  0.000  0.000 [4 per cell]
Fe  0.250  0.250  0.750 [4 per cell]
Te  0.250  0.250  0.250 [4 per cell]

RbFeTe | GGA-PBE | optimized geometry

The calculation puts the energy above the most stable polymorph in this dataset at 0 meV per atom. The mass density comes out at 5.12 g/cm3.

Cell lengths 7.040, 7.040, 7.040 Å; angles 90.00, 90.00, 90.00 degrees
Space group F-43m (No. 216)
Symmetry-distinct sites (fractional):
Rb  0.000  0.000  0.000 [4 per cell]
Fe  0.250  0.250  0.250 [4 per cell]
Te  0.000  0.000  0.500 [4 per cell]

RbTmFe | GGA-PBE | optimized geometry

The calculation puts the total energy at -3.04 eV/atom. The mass density comes out at 5.15 g/cm3.

Cell lengths 7.371, 7.371, 7.371 Å; angles 90.00, 90.00, 90.00 degrees
Space group F-43m (No. 216)
Symmetry-distinct sites (fractional):
Rb  0.000  0.000  0.000 [4 per cell]
Tm  0.250  0.250  0.750 [4 per cell]
Fe  0.000  0.000  0.500 [4 per cell]

RbZrFe | GGA-PBE | optimized geometry

The calculation puts the total energy at -3.65 eV/atom. The mass density comes out at 4.92 g/cm3.

Cell lengths 6.796, 6.796, 6.796 Å; angles 90.00, 90.00, 90.00 degrees
Space group F-43m (No. 216)
Symmetry-distinct sites (fractional):
Rb  0.000  0.000  0.000 [4 per cell]
Zr  0.250  0.250  0.250 [4 per cell]
Fe  0.250  0.250  0.750 [4 per cell]

FeRe | GGA-PBE | optimized geometry

The calculation puts the total energy at -9.19 eV/atom. The mass density comes out at 12.34 g/cm3.

Cell lengths 4.0585, 4.0585, 4.5685 Å; angles 90.00, 90.00, 120.00 degrees
Space group P6_3mc (No. 186)
Symmetry-distinct sites (fractional):
Fe  0.3333  0.6667  0.0000 [2 per cell]
Re  0.3333  0.6667  0.4961 [2 per cell]

FeRe2 | GGA-PBE | optimized geometry

The calculation puts the total energy at -7.12 eV/atom. The mass density comes out at 5.22 g/cm3.

Cell lengths 10.294, 10.294, 10.294 Å; angles 90.00, 90.00, 90.00 degrees
Space group Fd-3m (No. 227, origin choice 2)
Symmetry-distinct sites (fractional):
Fe  0.125  0.125  0.125 [8 per cell]
Re  0.000  0.000  0.000 [16 per cell]

no.,M_tot (μB/cell)
1,6.4
2,4.7
3,15.7
4,12.0
5,7.5
6,9.4
7,0.0
8,53.2